P.
Material: Pr4Tm3Te8
Method: DFT, GGA-PBE
State: relaxed

Cell and atoms, written as POSCAR:
```
Pr4Tm3Te8
1.0
6.2329 -6.2390 0.0000
6.2329 6.2390 0.0000
-6.2174 0.0000 6.2450
Pr Tm Te
4 3 8
Cartesian
0.0000 0.0000 0.0000
-3.1087 0.0000 3.1225
3.1164 3.1195 0.0000
3.1164 -3.1195 0.0000
0.0077 3.1195 3.1225
0.0077 -3.1195 3.1225
6.2329 0.0000 0.0000
6.2329 3.0430 0.0000
3.1242 2.9941 3.1225
3.1946 0.0000 0.1212
0.1334 0.0000 3.1975
6.1149 0.0000 3.0475
3.0537 0.0000 6.1238
3.1242 -2.9941 3.1225
6.2329 -3.0430 0.0000
```

## Properties
- Symmetry: No. 12
- Total magnetic moment: 0.000 μB per atom
- Density of states at the Fermi level: 6.9 states/eV/f.u.

=====

Q.
Material: Pr4Tm3Te8
Method: DFT, GGA-PBE
State: relaxed

Cell and atoms, written as POSCAR:
```
Pr4Tm3Te8
1.0
4.3591 2.5168 8.2096
-4.3591 2.5168 8.2096
0.0000 -5.0335 8.2096
Pr Tm Te
4 3 8
Cartesian
0.0000 0.0000 0.0000
0.0000 0.0000 3.5198
0.0000 0.0000 12.3144
0.0000 0.0000 21.1090
-2.1796 -1.2584 8.2096
-2.1796 1.2584 16.4192
0.0000 2.5167 8.2096
0.0000 -2.4085 10.1049
-2.0858 1.2043 10.1049
0.0000 0.0000 6.6105
-2.0858 -1.2043 14.5238
2.0858 1.2043 10.1049
0.0000 0.0000 18.0183
2.0858 -1.2043 14.5238
0.0000 2.4085 14.5238
```

## Properties
- Symmetry: No. 166
- Total magnetic moment: 0.000 μB per atom
- Density of states at the Fermi level: 8.2 states/eV/f.u.

=====

The structure with the least stability is Q.

=====

P.
Material: PrTm2Te3
Method: DFT, GGA-PBE
State: relaxed

Cell and atoms, written as POSCAR:
```
PrTm2Te3
1.0
2.2478 -7.5263 0.0000
2.2478 7.5263 0.0000
0.0000 0.0000 10.6765
Pr Tm Te
2 4 6
Cartesian
2.2478 4.4320 8.0074
2.2478 -4.4320 2.6691
0.0000 0.0000 0.0000
0.0000 0.0000 5.3382
2.2478 0.1461 8.0074
2.2478 -0.1461 2.6691
2.2478 5.4979 2.6691
2.2478 2.0515 0.5326
2.2478 2.0515 4.8056
2.2478 -2.0515 5.8708
2.2478 -2.0515 10.1439
2.2478 -5.4979 8.0074
```

## Properties
- Symmetry: No. 63
- Total magnetic moment: 0.000 μB per atom
- Density of states at the Fermi level: 4.1 states/eV/f.u.

=====

Q.
Material: PrTm2Te3
Method: DFT, GGA-PBE
State: relaxed

Cell and atoms, written as POSCAR:
```
PrTm2Te3
1.0
-2.1738 3.0902 6.6423
2.1738 -3.0902 6.6423
2.1738 3.0902 -6.6423
Pr Tm Te
1 2 3
Cartesian
0.0000 0.0000 0.0000
0.0000 0.0000 4.5600
0.0000 0.0000 8.7245
2.1738 0.0000 2.3920
0.0000 3.0902 0.0000
0.0000 3.0902 4.2502
```

## Properties
- Symmetry: No. 71
- Total magnetic moment: 0.000 μB per atom
- Density of states at the Fermi level: 3.5 states/eV/f.u.

=====

The structure with the least stability is P.

=====

P.
Material: PrTmTe
Method: DFT, GGA-PBE
State: relaxed

Cell and atoms, written as POSCAR:
```
PrTmTe
1.0
-1.9628 1.9628 5.8949
1.9628 -1.9628 5.8949
1.9628 1.9628 -5.8949
Pr Tm Te
1 1 1
Cartesian
0.0000 0.0000 0.0000
0.0000 0.0000 3.6651
0.0000 0.0000 7.9754
```

## Properties
- Symmetry: No. 107
- Total magnetic moment: 0.000 μB per atom
- Density of states at the Fermi level: 2.8 states/eV/f.u.

=====

Q.
Material: PrTmTe
Method: DFT, GGA-PBE
State: relaxed

Cell and atoms, written as POSCAR:
```
PrTmTe
1.0
5.2103 0.0000 0.0000
-2.6051 4.5122 0.0000
0.0000 0.0000 4.0184
Pr Tm Te
1 1 1
Cartesian
0.0000 0.0000 0.0000
2.6051 1.5041 1.9973
0.0000 3.0082 1.5668
```

## Properties
- Symmetry: No. 156
- Total magnetic moment: 0.000 μB per atom
- Density of states at the Fermi level: 5.3 states/eV/f.u.

=====

The structure with the least stability is Q.

=====

P.
Material: PrTmTe
Method: DFT, GGA-PBE
State: relaxed

Cell and atoms, written as POSCAR:
```
PrTmTe
1.0
4.1273 0.0000 0.0000
0.0000 4.6556 0.0000
0.0000 0.0000 5.1426
Pr Tm Te
1 1 1
Cartesian
0.0000 0.0000 0.0000
0.0000 2.3278 2.5713
2.0637 0.0000 2.5713
```

## Properties
- Symmetry: No. 47
- Total magnetic moment: 0.000 μB per atom
- Density of states at the Fermi level: 3.8 states/eV/f.u.

=====

Q.
Material: PrTmTe
Method: DFT, GGA-PBE
State: relaxed

Cell and atoms, written as POSCAR:
```
PrTmTe
1.0
8.5790 -1.9746 0.0000
8.5790 1.9746 0.0000
-0.1398 0.0000 11.2412
Pr Tm Te
4 4 4
Cartesian
0.5153 0.0000 3.9192
6.5703 0.0000 1.7000
10.4479 0.0000 9.5412
16.5030 0.0000 7.3221
3.3745 0.0000 1.0886
4.1119 0.0000 7.2552
12.9064 0.0000 3.9861
13.6437 0.0000 10.1526
6.5885 0.0000 5.0658
7.2845 0.0000 9.7056
9.7337 0.0000 1.5357
10.4298 0.0000 6.1755
```

## Properties
- Symmetry: No. 12
- Total magnetic moment: 0.000 μB per atom
- Density of states at the Fermi level: 3.2 states/eV/f.u.

=====

The structure with the least stability is P.

=====

P.
Material: PrTmTe3
Method: DFT, GGA-PBE
State: relaxed

Cell and atoms, written as POSCAR:
```
PrTmTe3
1.0
2.1600 -7.0966 0.0000
2.1600 7.0966 0.0000
0.0000 0.0000 10.7850
Pr Tm Te
2 2 6
Cartesian
2.1600 3.5521 8.0888
2.1600 -3.5521 2.6963
0.0000 0.0000 0.0000
0.0000 0.0000 5.3925
2.1600 5.8655 2.6963
2.1600 2.0658 0.6494
2.1600 2.0658 4.7431
2.1600 -2.0658 6.0419
2.1600 -2.0658 10.1357
2.1600 -5.8655 8.0888
```

## Properties
- Symmetry: No. 63
- Total magnetic moment: 0.000 μB per atom
- Density of states at the Fermi level: 0.1 states/eV/f.u.

=====

Q.
Material: PrTmTe3
Method: DFT, GGA-PBE
State: relaxed

Cell and atoms, written as POSCAR:
```
PrTmTe3
1.0
8.2800 0.0000 0.0000
0.0000 4.4159 0.0000
0.0000 0.0000 17.3872
Pr Tm Te
4 4 12
Cartesian
1.1311 1.1040 3.4660
3.0089 3.3119 12.1596
5.2711 1.1040 5.2276
7.1489 3.3119 13.9212
1.8835 3.3119 7.9713
2.2565 1.1040 16.6648
6.0234 3.3119 0.7223
6.3965 1.1040 9.4159
0.0541 1.1040 6.8711
0.9849 3.3119 1.0621
1.2938 1.1040 13.6843
2.8462 3.3119 4.9907
3.1551 1.1040 9.7557
4.0859 3.3119 15.5647
4.1941 1.1040 1.8225
5.1249 3.3119 7.6314
5.4337 1.1040 12.3964
6.9862 3.3119 3.7029
7.2950 1.1040 16.3250
8.2259 3.3119 10.5161
```

## Properties
- Symmetry: No. 62
- Total magnetic moment: 0.000 μB per atom
- Density of states at the Fermi level: 0.3 states/eV/f.u.

=====

The structure with the least stability is Q.

=====

P.
Material: PrUTe3
Method: DFT, GGA-PBE
State: relaxed

Cell and atoms, written as POSCAR:
```
PrUTe3
1.0
8.3378 0.0000 0.0000
0.0000 4.4127 0.0000
0.0000 0.0000 17.4945
Pr U Te
4 4 12
Cartesian
0.9918 1.1032 3.5222
3.1771 3.3095 12.2694
5.1607 1.1032 5.2251
7.3460 3.3095 13.9724
1.9114 3.3095 8.0649
2.2575 1.1032 16.8121
6.0803 3.3095 0.6824
6.4264 1.1032 9.4297
0.0149 1.1032 6.8918
0.9865 3.3095 1.1373
1.3940 1.1032 13.7326
2.7749 3.3095 4.9853
3.1824 1.1032 9.8846
4.1540 3.3095 15.6391
4.1838 1.1032 1.8555
5.1554 3.3095 7.6099
5.5629 1.1032 12.5092
6.9438 3.3095 3.7620
7.3513 1.1032 16.3572
8.3229 3.3095 10.6027
```

## Properties
- Symmetry: No. 62
- Total magnetic moment: 0.578 μB per atom
- Density of states at the Fermi level: 6.4 states/eV/f.u.

=====

Q.
Material: PrUTe3
Method: DFT, GGA-PBE
State: relaxed

Cell and atoms, written as POSCAR:
```
PrUTe3
1.0
9.6696 -2.1872 0.0000
9.6696 2.1872 0.0000
-0.8891 0.0000 8.0324
Pr U Te
2 2 6
Cartesian
2.6572 0.0000 0.5425
15.7929 0.0000 7.4899
8.0230 0.0000 3.9338
10.4271 0.0000 4.0985
-0.5371 0.0000 6.0962
2.9175 0.0000 3.6586
5.9435 0.0000 1.3252
12.5066 0.0000 6.7071
15.5326 0.0000 4.3738
18.9871 0.0000 1.9362
```

## Properties
- Symmetry: No. 12
- Total magnetic moment: 0.172 μB per atom
- Density of states at the Fermi level: 3.3 states/eV/f.u.

=====

The structure with the least stability is Q.

=====

P.
Material: PrYTe
Method: DFT, GGA-PBE
State: relaxed

Cell and atoms, written as POSCAR:
```
PrYTe
1.0
8.4954 -2.0305 0.0000
8.4954 2.0305 0.0000
-0.5645 0.0000 11.2793
Pr Y Te
4 4 4
Cartesian
0.2588 0.0000 3.9645
6.4734 0.0000 1.7703
9.9529 0.0000 9.5090
16.1675 0.0000 7.3147
3.2349 0.0000 0.9526
3.8713 0.0000 7.4119
12.5550 0.0000 3.8674
13.1914 0.0000 10.3267
6.2271 0.0000 5.1355
6.7521 0.0000 9.5464
9.6742 0.0000 1.7329
10.1992 0.0000 6.1438
```

## Properties
- Symmetry: No. 12
- Total magnetic moment: 0.009 μB per atom
- Density of states at the Fermi level: 3.3 states/eV/f.u.

=====

Q.
Material: PrYTe
Method: DFT, GGA-PBE
State: relaxed

Cell and atoms, written as POSCAR:
```
PrYTe
1.0
4.5120 0.0000 0.0000
0.0000 4.5120 0.0000
0.0000 0.0000 8.8111
Pr Y Te
2 2 2
Cartesian
1.1280 1.1280 1.2389
3.3840 3.3840 7.5722
1.1280 3.3840 4.4055
3.3840 1.1280 4.4055
1.1280 1.1280 6.7351
3.3840 3.3840 2.0760
```

## Properties
- Symmetry: No. 129
- Total magnetic moment: 0.064 μB per atom
- Density of states at the Fermi level: 2.4 states/eV/f.u.

=====

The structure with the least stability is P.

=====

P.
Material: Pr2ZnTe
Method: DFT, GGA-PBE
State: relaxed

Cell and atoms, written as POSCAR:
```
Pr2ZnTe
1.0
2.1618 1.2481 7.6755
-2.1618 1.2481 7.6755
0.0000 -2.4962 7.6755
Pr Zn Te
2 1 1
Cartesian
0.0000 0.0000 5.7194
0.0000 0.0000 17.3071
0.0000 0.0000 11.5132
0.0000 0.0000 0.0000
```

## Properties
- Symmetry: No. 166
- Total magnetic moment: 0.000 μB per atom
- Density of states at the Fermi level: 2.5 states/eV/f.u.

=====

Q.
Material: Pr2ZnTe
Method: DFT, GGA-PBE
State: relaxed

Cell and atoms, written as POSCAR:
```
Pr2ZnTe
1.0
2.1871 -12.2340 0.0000
2.1871 12.2340 0.0000
0.0000 0.0000 4.5312
Pr Zn Te
4 2 2
Cartesian
2.1871 10.7008 3.3984
2.1871 4.2639 3.3984
2.1871 -4.2639 1.1328
2.1871 -10.7008 1.1328
2.1871 0.9219 3.3984
2.1871 -0.9219 1.1328
2.1871 7.4994 3.3984
2.1871 -7.4994 1.1328
```

## Properties
- Symmetry: No. 63
- Total magnetic moment: 0.066 μB per atom
- Density of states at the Fermi level: 4.1 states/eV/f.u.

=====

The structure with the least stability is P.

=====

P.
Material: Pr2ZnTe
Method: DFT, GGA-PBE
State: relaxed

Cell and atoms, written as POSCAR:
```
Pr2ZnTe
1.0
3.9637 0.0000 0.0000
0.0000 3.9637 0.0000
0.0000 0.0000 7.1115
Pr Zn Te
2 1 1
Cartesian
0.0000 0.0000 1.7365
0.0000 0.0000 5.3750
1.9818 1.9818 0.0000
1.9818 1.9818 3.5557
```

## Properties
- Symmetry: No. 123
- Total magnetic moment: 0.000 μB per atom
- Density of states at the Fermi level: 3.5 states/eV/f.u.

=====

Q.
Material: Pr2ZnTe
Method: DFT, GGA-PBE
State: relaxed

Cell and atoms, written as POSCAR:
```
Pr2ZnTe
1.0
2.1082 1.2172 8.1806
-2.1082 1.2172 8.1806
0.0000 -2.4344 8.1806
Pr Zn Te
2 1 1
Cartesian
0.0000 0.0000 0.0000
0.0000 0.0000 4.1054
0.0000 0.0000 18.4318
0.0000 0.0000 14.2945
```

## Properties
- Symmetry: No. 160
- Total magnetic moment: 0.000 μB per atom
- Density of states at the Fermi level: 3.3 states/eV/f.u.

=====

The structure with the least stability is Q.

=====

P.
Material: PrTh5
Method: DFT, GGA-PBE
State: relaxed

Cell and atoms, written as POSCAR:
```
PrTh5
1.0
3.5694 0.0000 0.0000
-1.7847 3.0912 0.0000
0.0000 0.0000 17.9959
Pr Th
1 5
Cartesian
0.0000 0.0000 0.0000
0.0000 0.0000 6.0086
0.0000 0.0000 11.9873
1.7847 1.0304 3.0719
1.7847 1.0304 8.9980
1.7847 1.0304 14.9240
```

## Properties
- Symmetry: No. 187
- Total magnetic moment: 0.000 μB per atom
- Density of states at the Fermi level: 7.8 states/eV/f.u.

=====

Q.
Material: PrTh5
Method: DFT, GGA-PBE
State: relaxed

Cell and atoms, written as POSCAR:
```
PrTh5
1.0
3.5954 0.0000 0.0000
0.0000 3.5954 0.0000
0.0000 0.0000 15.2149
Pr Th
1 5
Cartesian
0.0000 0.0000 0.0000
0.0000 0.0000 5.1176
0.0000 0.0000 10.0973
1.7977 1.7977 2.6491
1.7977 1.7977 7.6074
1.7977 1.7977 12.5658
```

## Properties
- Symmetry: No. 123
- Total magnetic moment: 0.000 μB per atom
- Density of states at the Fermi level: 9.4 states/eV/f.u.

=====

The structure with the least stability is P.

=====

P.
Material: PrTh3
Method: DFT, GGA-PBE
State: relaxed

Cell and atoms, written as POSCAR:
```
PrTh3
1.0
-1.7895 5.9701 3.1221
1.7895 -5.9701 3.1221
1.7895 5.9701 -3.1221
Pr Th
1 3
Cartesian
0.0000 0.0000 0.0000
1.7895 2.9988 -1.0752
1.7895 0.0000 3.0925
0.0000 2.9713 2.0469
```

## Properties
- Symmetry: No. 44
- Total magnetic moment: 0.000 μB per atom
- Density of states at the Fermi level: 4.8 states/eV/f.u.

=====

Q.
Material: PrTh3
Method: DFT, GGA-PBE
State: relaxed

Cell and atoms, written as POSCAR:
```
PrTh3
1.0
0.0000 4.0460 4.0460
4.0460 0.0000 4.0460
4.0460 4.0460 0.0000
Pr Th
1 3
Cartesian
0.0000 0.0000 0.0000
2.0230 2.0230 2.0230
4.0460 4.0460 4.0460
6.0690 6.0690 6.0690
```

## Properties
- Symmetry: No. 225
- Total magnetic moment: 0.000 μB per atom
- Density of states at the Fermi level: 4.5 states/eV/f.u.

=====

R.
Material: PrTh3
Method: DFT, GGA-PBE
State: relaxed

Cell and atoms, written as POSCAR:
```
PrTh3
1.0
-2.5451 2.5451 5.0777
2.5451 -2.5451 5.0777
2.5451 2.5451 -5.0777
Pr Th
1 3
Cartesian
0.0000 0.0000 0.0000
2.5451 0.0000 2.5389
0.0000 0.0000 5.0777
0.0000 2.5451 2.5389
```

## Properties
- Symmetry: No. 139
- Total magnetic moment: 0.000 μB per atom
- Density of states at the Fermi level: 6.3 states/eV/f.u.

=====

The structure with the least stability is Q.